Computed, not measured: crystalline Ba2ScTaO6 at its relaxed geometry at the PBE level of DFT.

POSCAR file:
```
Ba2ScTaO6
1.0
0.000 4.158 4.158
4.158 0.000 4.158
4.158 4.158 0.000
Ba Sc Ta O
2 1 1 6
Direct
0.250 0.250 0.250
0.750 0.750 0.750
0.000 0.000 0.000
0.500 0.500 0.500
0.257 0.257 0.743
0.257 0.743 0.257
0.257 0.743 0.743
0.743 0.257 0.257
0.743 0.257 0.743
0.743 0.743 0.257
```

total magnetic moment	0.00	μB per formula unit
space-group type	Fm-3m
raw total energy	-8.3530	eV per atom
density	6.89	g/cm³